This record from Alexandria via LeMat-Bulk describes SiS4 after structural relaxation. The functional is PBE.

abc: 4.496 4.496 4.496
angles: 90.00 90.00 90.00
Space group Pm-3m (No. 221)
One atom of each set of equivalent atoms:
1 Si 0.000 0.000 0.000
2 S 0.000 0.000 0.500
3 S 0.500 0.500 0.500

Properties
For the spin magnetization, the calculation gives 0.6 μB/f.u. The formation energy without anion corrections comes out at 715 meV per atom. The value obtained for the polymorph energy (0 for the lowest one) is 0.769 eV/atom.

=====

This record from Alexandria via LeMat-Bulk describes SiS8 after structural relaxation. The functional is PBE.

abc: 7.151 7.151 8.296
angles: 90.00 90.00 90.00
Space group I4/mmm (No. 139)
One atom of each set of equivalent atoms:
1 Si 0.000 0.000 0.000
2 S 0.000 0.305 0.000
3 S 0.171 0.171 0.500

Properties
For the spin magnetization, the calculation gives 0.0 μB/f.u. The formation energy without anion corrections comes out at 340 meV per atom.

=====

This record from Alexandria via LeMat-Bulk describes Si23S after structural relaxation. The functional is PBE.

abc: 10.215 10.215 10.215
angles: 90.00 90.00 90.00
Space group Pm-3n (No. 223)
One atom of each set of equivalent atoms:
1 Si 0.000 0.117 0.308
2 Si 0.000 0.250 0.500
3 Si 0.182 0.182 0.182
4 S 0.000 0.000 0.000

Properties
For the spin magnetization, the calculation gives 1.7 μB/f.u. The formation energy without anion corrections comes out at 129 meV per atom.

=====

This record from Alexandria via LeMat-Bulk describes SmSiS3 after structural relaxation. The functional is PBE.

abc: 6.602 7.399 10.996
angles: 90.00 124.04 90.00
Space group P2_1/c (No. 14)
One atom of each set of equivalent atoms:
1 Sm 0.213 0.127 0.252
2 Si 0.148 0.604 0.068
3 S 0.066 0.180 0.928
4 S 0.286 0.686 0.942
5 S 0.415 0.018 0.771

Properties
For the spin magnetization, the calculation gives 0.0 μB/f.u. The formation energy without anion corrections comes out at -1330 meV per atom. The value obtained for the polymorph energy (0 for the lowest one) is 0.000 eV/atom.

=====

This record from Alexandria via LeMat-Bulk describes SmSiS3 after structural relaxation. The functional is PBE.

abc: 7.630 6.321 8.735
angles: 90.00 90.00 90.00
Space group Pna2_1 (No. 33)
One atom of each set of equivalent atoms:
1 Sm 0.111 0.031 0.000
2 Si 0.068 0.526 0.229
3 S 0.028 0.401 0.485
4 S 0.169 0.833 0.300
5 S 0.190 0.842 0.693

Properties
For the spin magnetization, the calculation gives 0.0 μB/f.u. The formation energy without anion corrections comes out at -1150 meV per atom. The value obtained for the polymorph energy (0 for the lowest one) is 0.181 eV/atom.

=====

This record from Alexandria via LeMat-Bulk describes Sm5SiS5 after structural relaxation. The functional is PBE.

abc: 12.865 5.708 8.128
angles: 90.00 108.36 90.00
Space group C2/m (No. 12)
One atom of each set of equivalent atoms:
1 Sm 0.000 0.000 0.000
2 Sm 0.161 0.500 0.824
3 Sm 0.165 0.500 0.336
4 Si 0.000 0.500 0.000
5 S 0.000 0.500 0.500
6 S 0.171 0.000 0.332
7 S 0.173 0.000 0.843

Properties
For the spin magnetization, the calculation gives 0.0 μB/f.u. The formation energy without anion corrections comes out at -1824 meV per atom.

=====

This record from Alexandria via LeMat-Bulk describes Sm6SiS5 after structural relaxation. The functional is PBE.

abc: 7.011 12.154 7.032
angles: 90.00 109.43 90.00
Space group C2/m (No. 12)
One atom of each set of equivalent atoms:
1 Sm 0.248 0.165 0.248
2 Sm 0.249 0.000 0.754
3 Si 0.000 0.000 0.000
4 S 0.000 0.166 0.500
5 S 0.000 0.333 0.000
6 S 0.000 0.500 0.500

Properties
For the spin magnetization, the calculation gives 0.0 μB/f.u. The formation energy without anion corrections comes out at -1843 meV per atom.

=====

This record from Alexandria via LeMat-Bulk describes Sm3SiS6 after structural relaxation. The functional is PBE.

abc: 10.860 13.426 6.575
angles: 90.00 90.00 90.00
Space group Cmc2_1 (No. 36)
One atom of each set of equivalent atoms:
1 Sm 0.000 0.095 0.000
2 Sm 0.181 0.405 0.908
3 Si 0.000 0.299 0.358
4 S 0.000 0.289 0.685
5 S 0.000 0.453 0.245
6 S 0.159 0.238 0.205
7 S 0.162 0.032 0.703

Properties
For the spin magnetization, the calculation gives 0.0 μB/f.u. The formation energy without anion corrections comes out at -1620 meV per atom.